# 1
ScCoRe: optimized geometry, PBE.

It has space group F-43m (No. 216), with a = 5.864 Å, b = 5.864 Å, c = 5.864 Å, α = 90.00°, β = 90.00° and γ = 90.00°. Symmetry generates all atoms from Sc at (0.000, 0.000, 0.000), Co at (0.250, 0.250, 0.750) and Re at (0.000, 0.000, 0.500).

For the energy of formation, the calculation gives 0.3218 eV/atom. The volume is 201.7 Å³/cell. For the final energy, the calculation gives -99.681 eV/cell.

=====

# 2
ScCoRe: optimized geometry, PBE.

It has space group P3m1 (No. 156), with a = 2.8510 Å, b = 2.8510 Å, c = 6.5326 Å, α = 90.00°, β = 90.00° and γ = 120.00°. Symmetry generates all atoms from Sc at (0.0000, 0.0000, 0.0000), Co at (0.6667, 0.3333, 0.3307) and Re at (0.3333, 0.6667, 0.6312).

For the energy of formation, the calculation gives 0.2414 eV/atom. The volume is 46.0 Å³/cell. For the final energy, the calculation gives -25.161 eV/cell.

=====

# 3
ScCoRe: optimized geometry, PBE.

It has space group Imma (No. 74), with a = 5.010 Å, b = 5.125 Å, c = 7.236 Å, α = 90.00°, β = 90.00° and γ = 90.00°. Symmetry generates all atoms from Sc at (0.000, 0.250, 0.124), Co at (0.000, 0.000, 0.500) and Re at (0.250, 0.250, 0.750).

For the energy of formation, the calculation gives -0.2808 eV/atom. The volume is 185.8 Å³/cell. For the final energy, the calculation gives -106.911 eV/cell.

=====

E above lowest polymorph, record by record: 603; 522; 0 meV per atom